[1]
Computed, not measured: an optimized crystal structure of CeErPb2 at the PBE level of DFT.

Geometry as extended XYZ:
```
4
Lattice="4.550 0.000 0.000 0.000 4.526 0.000 -2.269 0.000 5.903" Properties=species:S:1:pos:R:3 pbc="T T T"
Ce 0.000 0.000 0.000
Er -0.003 2.263 3.054
Pb 2.275 2.263 0.350
Pb 2.272 0.000 2.728
```

Output
Calculated density: 9.86 Mg/m³
Symmetry: Pm, No. 6
Formation energy: -8.955 kcal/mol of atoms
Uncorrected energy: -19.5 eV per formula unit

=====

[2]
Computed, not measured: an optimized crystal structure of CeErPb2 at the PBE level of DFT.

Geometry as extended XYZ:
```
4
Lattice="5.060 0.000 0.000 0.000 5.060 0.000 0.000 0.000 4.490" Properties=species:S:1:pos:R:3 pbc="T T T"
Ce 0.000 0.000 0.000
Er 2.530 2.530 0.000
Pb 0.000 2.530 2.245
Pb 2.530 0.000 2.245
```

Output
Calculated density: 10.42 Mg/m³
Symmetry: P4/mmm, No. 123
Formation energy: -9.160 kcal/mol of atoms
Uncorrected energy: -19.5 eV per formula unit

=====

[3]
Computed, not measured: an optimized crystal structure of CeErPb6 at the PBE level of DFT.

Geometry as extended XYZ:
```
8
Lattice="4.904 0.000 0.000 0.000 4.904 0.000 0.000 0.000 9.743" Properties=species:S:1:pos:R:3 pbc="T T T"
Ce 0.000 0.000 0.000
Er 0.000 0.000 4.872
Pb 0.000 2.452 2.475
Pb 0.000 2.452 7.268
Pb 2.452 0.000 2.475
Pb 2.452 0.000 7.268
Pb 2.452 2.452 0.000
Pb 2.452 2.452 4.872
```

Output
Calculated density: 10.99 Mg/m³
Symmetry: P4/mmm, No. 123
Formation energy: -6.779 kcal/mol of atoms
Uncorrected energy: -35.1 eV per formula unit

=====

[4]
Computed, not measured: an optimized crystal structure of Ce2ErPb2 at the PBE level of DFT.

Geometry as extended XYZ:
```
5
Lattice="5.437 0.000 0.000 -2.719 4.709 0.000 0.000 0.000 6.606" Properties=species:S:1:pos:R:3 pbc="T T T"
Ce 0.000 3.139 1.884
Ce 2.719 1.570 4.721
Er 0.000 0.000 0.000
Pb 0.000 3.139 5.207
Pb 2.719 1.570 1.398
```

Output
ΔE to the lowest computed polymorph: 0.000 eV per atom
Calculated density: 8.46 Mg/m³
Symmetry: P-3m1, No. 164
Formation energy: -4.794 kcal/mol of atoms
Uncorrected energy: -24.9 eV per formula unit

=====

[5]
Computed, not measured: an optimized crystal structure of CeErPb2 at the PBE level of DFT.

Geometry as extended XYZ:
```
4
Lattice="3.569 0.000 0.000 0.000 3.569 0.000 0.000 0.000 9.013" Properties=species:S:1:pos:R:3 pbc="T T T"
Ce 0.000 0.000 0.000
Er 0.000 0.000 4.507
Pb 1.785 1.785 2.333
Pb 1.785 1.785 6.680
```

Output
Calculated density: 10.44 Mg/m³
Symmetry: P4/mmm, No. 123
Formation energy: -9.079 kcal/mol of atoms
Uncorrected energy: -19.5 eV per formula unit

=====

[6]
Computed, not measured: an optimized crystal structure of Ce3Er2Pb3 at the PBE level of DFT.

Geometry as extended XYZ:
```
8
Lattice="-2.233 2.471 10.728 2.233 -2.471 10.728 2.233 2.471 -10.728" Properties=species:S:1:pos:R:3 pbc="T T T"
Ce 0.000 0.000 0.000
Ce 2.233 0.000 8.211
Ce 0.000 2.471 2.517
Er 0.000 0.000 5.316
Er 0.000 0.000 16.140
Pb 2.233 0.000 2.959
Pb 0.000 0.000 10.728
Pb 0.000 2.471 7.769
```

Output
Calculated density: 9.66 Mg/m³
Symmetry: Immm, No. 71
Formation energy: -7.071 kcal/mol of atoms
Uncorrected energy: -40.5 eV per formula unit